Record 1
Material: CaNdSb
Method: DFT, PBE
State: optimized geometry

Cell and atoms, written as POSCAR:
```
CaNdSb
1.0
-0.9375 4.0970 -2.0325
-1.1978 -2.2223 -3.9271
-8.2411 -0.4952 2.7969
Ca Sb Nd
2 2 2
Direct
0.7497 0.2503 0.3529
0.2503 0.7497 0.6471
0.7503 0.2497 0.7230
0.2497 0.7503 0.2770
0.7500 0.7500 0.0000
0.2500 0.2500 0.0000
```

Properties
- DOS(E_F) (states/eV per cell) = 7.3
- formation energy from raw total energies (eV per atom) = -0.81
- V (Å³ per atom) = 31.665
- DFT total energy (eV for the cell shown) = -26.66

=====

Record 2
Material: BaInP2O8
Method: DFT, PBE
State: optimized geometry

Cell and atoms, written as POSCAR:
```
BaInP2O8
1.0
-2.1104 -4.5560 -0.3883
2.3616 -4.0365 1.8683
-3.4254 -1.8108 7.2050
O In Ba P
8 1 1 2
Direct
0.7372 0.0107 0.8290
0.2628 0.9893 0.1710
0.4231 0.7372 0.8290
0.0107 0.4231 0.8290
0.5769 0.2628 0.1710
0.9893 0.5769 0.1710
0.8113 0.8113 0.5660
0.1887 0.1887 0.4340
0.0000 0.0000 0.0000
0.5000 0.5000 0.5000
0.2565 0.2565 0.2304
0.7435 0.7435 0.7696
```

Properties
- DOS(E_F) (states/eV per cell) = 11.0
- formation energy from raw total energies (eV per atom) = -2.20
- V (Å³ per atom) = 13.995
- DFT total energy (eV for the cell shown) = -81.56

=====

Record 3
Material: Pm2TmGe4Ir3
Method: DFT, PBE
State: optimized geometry

Cell and atoms, written as POSCAR:
```
Pm2TmGe4Ir3
1.0
4.2609 0.0000 0.0000
0.0000 4.2609 0.0000
0.0000 0.0000 11.0551
Pm Ge Tm Ir
2 4 1 3
Direct
0.0000 0.5000 0.7690
0.5000 0.0000 0.2310
0.5000 0.5000 0.0000
0.0000 0.5000 0.3375
0.5000 0.0000 0.6625
0.0000 0.0000 0.0000
0.5000 0.5000 0.5000
0.5000 0.0000 0.8829
0.0000 0.5000 0.1171
0.0000 0.0000 0.5000
```

Properties
- DOS(E_F) (states/eV per cell) = 4.6
- V (Å³ per atom) = 20.070
- DFT total energy (eV for the cell shown) = -66.54
- E_form (eV per atom) = -0.752